Material: Sr3Ca7Ac
Method: DFT, GGA-PBE
State: optimized geometry

Properties
- SG: Cmcm, No. 63
- Raw total energy: -43.2 eV for the cell shown
- Magnetization: 0.0000 μB per atom
- Formation energy from the elements: 0.1444 eV/atom

a = 3.897 Å, b = 13.666 Å, c = 20.118 Å
α = 90.00°, β = 90.00°, γ = 98.20°
Fractional coordinates of all 22 atoms:
Ca 0.499 0.998 0.910
Ca 0.624 0.248 0.658
Ca 0.624 0.248 0.842
Ca 0.608 0.217 0.250
Ca 0.744 0.487 0.922
Ca 0.256 0.513 0.422
Ca 0.392 0.783 0.750
Ca 0.376 0.752 0.342
Ca 0.501 0.002 0.090
Ca 0.499 0.998 0.590
Ca 0.256 0.513 0.078
Ca 0.501 0.002 0.410
Ca 0.744 0.487 0.578
Ca 0.376 0.752 0.158
Sr 0.879 0.758 0.523
Sr 0.239 0.479 0.750
Sr 0.879 0.758 0.977
Sr 0.761 0.521 0.250
Sr 0.121 0.242 0.477
Sr 0.121 0.242 0.023
Ac 0.981 0.963 0.250
Ac 0.019 0.037 0.750